# 1
DyLuBe2 | PBE-GGA | relaxed

The structure in extended XYZ format:
```
4
Lattice="0.000 3.373 3.373 3.373 0.000 3.373 3.373 3.373 0.000" Properties=species:S:1:pos:R:3 pbc="T T T"
Dy 0.000 0.000 0.000
Lu 3.373 3.373 3.373
Be 1.687 1.687 1.687
Be 5.060 5.060 5.060
```

Output
E_form: 0.0762 eV per atom
Polymorph energy (0 for the lowest one): 0.0 kJ/mol of formula units
Raw total energy: -4.068 eV per atom

---

# 2
DyLuBe2 | PBE-GGA | relaxed

The structure in extended XYZ format:
```
4
Lattice="4.748 0.000 0.000 0.000 4.748 0.000 0.000 0.000 3.390" Properties=species:S:1:pos:R:3 pbc="T T T"
Dy 0.000 0.000 0.000
Lu 2.374 2.374 0.000
Be 0.000 2.374 1.695
Be 2.374 0.000 1.695
```

Output
E_form: 0.0786 eV per atom
Polymorph energy (0 for the lowest one): 0.9 kJ/mol of formula units
Raw total energy: -4.065 eV per atom

---

# 3
DyLu2Be | PBE-GGA | relaxed

The structure in extended XYZ format:
```
4
Lattice="3.388 0.000 0.000 0.000 3.388 0.000 0.000 0.000 8.522" Properties=species:S:1:pos:R:3 pbc="T T T"
Dy 0.000 0.000 0.000
Lu 1.694 1.694 2.629
Lu 1.694 1.694 5.892
Be 0.000 0.000 4.261
```

Output
E_form: 0.0485 eV per atom
Raw total energy: -4.294 eV per atom

---

# 4
DyLuBeNi | PBE-GGA | relaxed

The structure in extended XYZ format:
```
4
Lattice="0.000 3.354 3.354 3.354 0.000 3.354 3.354 3.354 0.000" Properties=species:S:1:pos:R:3 pbc="T T T"
Dy 0.000 0.000 0.000
Lu 3.354 3.354 3.354
Be 1.677 1.677 1.677
Ni 5.030 5.030 5.030
```

Output
E_form: -0.1704 eV per atom
Raw total energy: -4.828 eV per atom

---

- raw total energy of number 1 (DyLuBe2)?
  -4.068 eV per atom

---

- Which of these has the lowest raw total energy?
  DyLuBeNi

---

Copy entry 4 word for word.
DyLuBeNi | PBE-GGA | relaxed

The structure in extended XYZ format:
```
4
Lattice="0.000 3.354 3.354 3.354 0.000 3.354 3.354 3.354 0.000" Properties=species:S:1:pos:R:3 pbc="T T T"
Dy 0.000 0.000 0.000
Lu 3.354 3.354 3.354
Be 1.677 1.677 1.677
Ni 5.030 5.030 5.030
```

Output
E_form: -0.1704 eV per atom
Raw total energy: -4.828 eV per atom

---

- Which formula does entry 3 have?
  DyLu2Be